Entry 1:
# PBE AlV2Fe, relaxed
data_AlV2Fe
_space_group_name_H-M_alt 'I -4 2 d'
_space_group_IT_number 122
_space_group_name_Hall 'I -4 2bw'
_cell_length_a 6.754
_cell_length_b 6.754
_cell_length_c 4.955
_cell_angle_alpha 90.00
_cell_angle_beta 90.00
_cell_angle_gamma 90.00
loop_
_atom_site_label
_atom_site_type_symbol
_atom_site_fract_x
_atom_site_fract_y
_atom_site_fract_z
Al1 Al 0.000 0.000 0.000
V1 V 0.196 0.750 0.625
Fe1 Fe 0.000 0.000 0.500
# Magnetic moment = 0.0 μB/f.u.
# DFT total energy = -117.767 eV for the cell shown
# Crystal system = tetragonal
# N(E_F) = 1.340 states/eV/atom



Entry 2:
# PBE Al4VFe, relaxed
data_Al4VFe
_space_group_name_H-M_alt 'P 1 21/c 1'
_space_group_IT_number 14
_cell_length_a 4.991
_cell_length_b 6.862
_cell_length_c 5.081
_cell_angle_alpha 90.00
_cell_angle_beta 90.13
_cell_angle_gamma 90.00
loop_
_space_group_symop_operation_xyz
'x,y,z'
'-x,-y,-z'
'-x,y+1/2,-z+1/2'
'x,-y+1/2,z+1/2'
loop_
_atom_site_label
_atom_site_type_symbol
_atom_site_fract_x
_atom_site_fract_y
_atom_site_fract_z
Al1 Al 0.223 0.250 0.250
Al2 Al 0.271 0.636 0.499
V1 V 0.500 0.000 0.500
Fe1 Fe 0.000 0.000 0.500
# Magnetic moment = 0.6 μB/f.u.
# DFT total energy = -66.545 eV for the cell shown
# Crystal system = monoclinic
# N(E_F) = 0.533 states/eV/atom



Entry 3:
# PBE Al3V2Fe3, relaxed
data_Al3V2Fe3
_space_group_name_H-M_alt 'I m m m'
_space_group_IT_number 71
_space_group_name_Hall '-I 2 2'
_cell_length_a 2.923
_cell_length_b 4.101
_cell_length_c 16.418
_cell_angle_alpha 90.00
_cell_angle_beta 90.00
_cell_angle_gamma 90.00
loop_
_atom_site_label
_atom_site_type_symbol
_atom_site_fract_x
_atom_site_fract_y
_atom_site_fract_z
Al1 Al 0.000 0.000 0.000
Al2 Al 0.000 0.500 0.121
V1 V 0.000 0.000 0.240
Fe1 Fe 0.000 0.000 0.500
Fe2 Fe 0.000 0.500 0.373
# Magnetic moment = 1.3 μB/f.u.
# DFT total energy = -114.641 eV for the cell shown
# Crystal system = orthorhombic
# N(E_F) = 1.289 states/eV/atom



Entry 4:
# PBE Al2VFe5, relaxed
data_Al2VFe5
_space_group_name_H-M_alt 'I 4/m m m'
_space_group_IT_number 139
_space_group_name_Hall '-I 4 2'
_cell_length_a 4.015
_cell_length_b 4.015
_cell_length_c 11.422
_cell_angle_alpha 90.00
_cell_angle_beta 90.00
_cell_angle_gamma 90.00
loop_
_atom_site_label
_atom_site_type_symbol
_atom_site_fract_x
_atom_site_fract_y
_atom_site_fract_z
Al1 Al 0.000 0.000 0.249
V1 V 0.000 0.000 0.500
Fe1 Fe 0.000 0.000 0.000
Fe2 Fe 0.000 0.500 0.121
# Magnetic moment = 3.6 μB/f.u.
# DFT total energy = -121.679 eV for the cell shown
# Crystal system = tetragonal
# N(E_F) = 0.963 states/eV/atom